1.
CsRb2HgAu GGA-PBE relaxed; uncorrected energy = -6.6 eV/cell; energy relative to the lowest polymorph listed for this composition = 1.522 kcal/mol of atoms
1.0
6.936 0.000 0.000
0.000 6.936 0.000
0.000 0.000 5.578
Cs Rb Hg Au
1 2 1 1
Cartesian
0.000 0.000 0.000 Cs
0.000 3.468 2.789 Rb
3.468 0.000 2.789 Rb
3.468 3.468 2.789 Hg
3.468 3.468 0.000 Au

---

2.
MgCd2Hg2 GGA-PBE relaxed; uncorrected energy = -7.6 eV/cell; energy relative to the lowest polymorph listed for this composition = 2.339 kcal/mol of atoms
1.0
4.180 0.000 0.000
0.000 4.180 0.000
0.000 0.000 14.155
Mg Cd Hg
2 4 4
Cartesian
0.000 0.000 0.000 Mg
2.090 2.090 7.078 Mg
0.000 2.090 3.539 Cd
0.000 2.090 10.616 Cd
2.090 0.000 3.539 Cd
2.090 0.000 10.616 Cd
0.000 0.000 5.686 Hg
0.000 0.000 8.469 Hg
2.090 2.090 1.392 Hg
2.090 2.090 12.763 Hg

---

3.
ZnBiIr GGA-PBE relaxed; uncorrected energy = -28.3 eV/cell; energy relative to the lowest polymorph listed for this composition = 0.223 kcal/mol of atoms
1.0
5.171 0.000 0.000
0.000 4.341 0.000
-1.874 0.000 5.398
Zn Bi Ir
2 2 2
Cartesian
-0.275 1.085 2.685 Zn
3.572 3.256 2.714 Zn
1.312 3.256 0.435 Bi
1.985 1.085 4.963 Bi
0.986 3.256 3.427 Ir
2.311 1.085 1.971 Ir

---

4.
LaSc2Mn GGA-PBE relaxed; uncorrected energy = -26.2 eV/cell; energy relative to the lowest polymorph listed for this composition = 1.264 kcal/mol of atoms
1.0
3.651 0.000 0.000
0.000 3.651 0.000
0.000 0.000 7.341
La Sc Mn
1 2 1
Cartesian
0.000 0.000 0.000 La
0.000 0.000 3.183 Sc
1.825 1.825 4.974 Sc
1.825 1.825 1.990 Mn

---

5.
Li2MgRu GGA-PBE relaxed; uncorrected energy = -51.9 eV/cell
1.0
6.951 0.000 0.000
0.000 6.951 0.000
0.000 0.000 5.174
Li Mg Ru
8 4 4
Cartesian
1.636 1.738 0.647 Li
1.738 5.111 1.940 Li
1.738 5.315 4.528 Li
1.840 1.738 3.234 Li
5.111 5.213 3.234 Li
5.213 1.636 4.528 Li
5.213 1.840 1.940 Li
5.315 5.213 0.647 Li
0.000 0.000 2.587 Mg
0.000 3.475 3.881 Mg
3.475 0.000 1.294 Mg
3.475 3.475 0.000 Mg
0.000 0.000 0.000 Ru
0.000 3.475 1.294 Ru
3.475 0.000 3.881 Ru
3.475 3.475 2.587 Ru

---

6.
Ni2HgSb GGA-PBE relaxed; uncorrected energy = -15.4 eV/cell; formation energy from raw total energies = 14.2 kJ per mole of atoms
1.0
4.488 0.000 0.000
0.000 4.488 0.000
0.000 0.000 3.228
Ni Hg Sb
2 1 1
Cartesian
0.000 2.244 0.000 Ni
2.244 0.000 0.000 Ni
0.000 0.000 1.614 Hg
2.244 2.244 1.614 Sb

---

7.
SrTe2Se GGA-PBE relaxed; uncorrected energy = -39.2 eV/cell; formation energy from raw total energies = -39.2 kJ per mole of atoms
1.0
4.677 0.000 0.000
-2.338 4.050 0.000
0.000 0.000 27.593
Sr Te Se
3 6 3
Cartesian
0.000 0.000 0.000 Sr
0.000 2.700 18.395 Sr
2.338 1.350 9.198 Sr
0.000 0.000 11.138 Te
0.000 0.000 16.455 Te
0.000 2.700 1.940 Te
0.000 2.700 7.258 Te
2.338 1.350 20.335 Te
2.338 1.350 25.653 Te
0.000 0.000 13.797 Se
0.000 2.700 4.599 Se
2.338 1.350 22.994 Se

---

8.
Hf2NbTc2 GGA-PBE relaxed; uncorrected energy = -103.2 eV/cell; energy relative to the lowest polymorph listed for this composition = 0.000 kcal/mol of atoms
1.0
3.188 0.000 0.000
0.000 18.962 0.000
0.000 0.000 3.172
Hf Nb Tc
4 2 4
Cartesian
0.000 3.221 0.000 Hf
0.000 15.741 0.000 Hf
1.594 6.260 0.000 Hf
1.594 12.702 0.000 Hf
0.000 0.000 0.000 Nb
1.594 9.481 0.000 Nb
0.000 7.872 1.586 Tc
0.000 11.090 1.586 Tc
1.594 1.609 1.586 Tc
1.594 17.353 1.586 Tc

---

Question: Which of these has the highest uncorrected energy?
Answer: CsRb2HgAu

---

Question: Which of these has the lowest uncorrected energy?
Answer: Hf2NbTc2

---

Question: The highest uncorrected energy belongs to which entry?
Answer: CsRb2HgAu

---

Question: The highest uncorrected energy belongs to which entry?
Answer: CsRb2HgAu